Entry from Alexandria: CrO3 after structural relaxation (GGA-PBEsol).

Cell and atoms, written as POSCAR:
```
CrO3
1.0
3.573 0.000 0.000
0.000 3.573 0.000
0.000 0.000 3.573
Cr O
1 3
Direct
0.000 0.000 0.000 Cr
0.000 0.000 0.500 O
0.000 0.500 0.000 O
0.500 0.000 0.000 O
```

The value obtained for the density of states at the Fermi level is 2.0 states/eV/f.u. The calculation puts the calculated total energy at -7.7704 eV per atom. The formation energy without anion corrections is -1.2729 eV per atom. The value obtained for the density is 3.640 g cm⁻³. For the distance to the lowest polymorph of the same formula, the calculation gives 0.280 eV/atom.


Entry from Alexandria: CrPOsO2 after structural relaxation (GGA-PBEsol).

Cell and atoms, written as POSCAR:
```
CrPOsO2
1.0
3.476 0.000 0.000
0.000 3.476 0.000
0.000 0.000 5.375
Cr P Os O
1 1 1 2
Direct
0.000 0.000 0.000 Cr
0.000 0.000 0.500 P
0.500 0.500 0.500 Os
0.000 0.500 0.000 O
0.500 0.000 0.000 O
```

The value obtained for the density of states at the Fermi level is 3.8 states/eV/f.u. The calculation puts the calculated total energy at -7.9226 eV per atom. The formation energy without anion corrections is -0.1730 eV per atom. The value obtained for the density is 7.805 g cm⁻³.


Entry from Alexandria: Sc2CrOsO after structural relaxation (GGA-PBEsol).

Cell and atoms, written as POSCAR:
```
Sc2CrOsO
1.0
4.287 0.000 0.000
0.000 4.287 0.000
0.000 0.000 4.030
Sc Cr Os O
2 1 1 1
Direct
0.000 0.500 0.000 Sc
0.500 0.000 0.000 Sc
0.000 0.000 0.500 Cr
0.500 0.500 0.500 Os
0.500 0.500 0.000 O
```

The value obtained for the density of states at the Fermi level is 4.4 states/eV/f.u. The calculation puts the calculated total energy at -8.8153 eV per atom. The formation energy without anion corrections is -0.6319 eV per atom. The value obtained for the density is 7.806 g cm⁻³.


Entry from Alexandria: Sr2CrOsO6 after structural relaxation (GGA-PBEsol).

Cell and atoms, written as POSCAR:
```
Sr2CrOsO6
1.0
2.747 1.586 4.448
-2.747 1.586 4.448
0.000 -3.172 4.448
Sr Cr Os O
2 1 1 6
Direct
0.250 0.250 0.250 Sr
0.750 0.750 0.750 Sr
0.500 0.500 0.500 Cr
0.000 0.000 0.000 Os
0.218 0.286 0.747 O
0.253 0.782 0.714 O
0.286 0.747 0.218 O
0.714 0.253 0.782 O
0.747 0.218 0.286 O
0.782 0.714 0.253 O
```

The value obtained for the density of states at the Fermi level is 0.3 states/eV/f.u. The calculation puts the calculated total energy at -7.9063 eV per atom. The formation energy without anion corrections is -2.1429 eV per atom. The value obtained for the density is 7.331 g cm⁻³.